No. 1
Here is an optimized crystal structure of Na2DyZrO4 from the Alexandria database. Energies are from PBE.

```
Na2DyZrO4
1.0
5.777 0.000 0.000
0.000 3.291 0.000
-1.902 0.000 5.635
Na Dy Zr O
2 1 1 4
Cartesian
0.000 0.000 0.000 Na
2.889 1.646 0.000 Na
-0.951 1.646 2.817 Dy
1.937 0.000 2.817 Zr
0.108 0.000 4.027 O
0.994 1.646 1.581 O
2.881 1.646 4.054 O
3.767 0.000 1.608 O
```

Summary:
**Formation energy without anion corrections**: -248 kJ/mol of atoms
**DFT total energy**: -7.02 eV/atom

No. 2
Here is an optimized crystal structure of NaDy2Os from the Alexandria database. Energies are from PBE.

```
NaDy2Os
1.0
3.398 0.000 0.000
0.000 3.398 0.000
0.000 0.000 9.564
Na Dy Os
1 2 1
Cartesian
0.000 0.000 0.000 Na
1.699 1.699 3.131 Dy
1.699 1.699 6.433 Dy
0.000 0.000 4.782 Os
```

Summary:
**Energy of formation**: -0.141 eV/atom
**DFT total energy**: -5.58 eV/atom

No. 3
Here is an optimized crystal structure of NaDy2Os from the Alexandria database. Energies are from PBE.

```
NaDy2Os
1.0
2.027 1.170 9.056
-2.027 1.170 9.056
0.000 -2.341 9.056
Na Dy Os
1 2 1
Cartesian
0.000 0.000 0.000 Na
0.000 0.000 5.957 Dy
0.000 0.000 21.212 Dy
0.000 0.000 13.585 Os
```

Summary:
**Energy of formation**: 0.053 eV/atom
**DFT total energy**: -5.39 eV/atom

Which value of DFT total energy does entry 3 give?
-5.39 eV/atom

The lowest DFT total energy belongs to which entry?
Na2DyZrO4